DFT (PBE-GGA) results for crystalline NdMg2CuGe2 at its relaxed geometry.

Results
D(E_F)   0.533 states/eV/atom
Formation enthalpy at 0 K   0.011 eV per atom
E_tot   -0.2599 Ry per atom
Calculated density   4.6 g/cm³

a b c (Å): 6.4899 6.4899 6.4899
angles (deg): 132.39 132.39 69.61
Sites, in units of the cell vectors:
Nd 0.0000 0.0000 0.0000
Mg 0.2500 0.7500 0.5000
Mg 0.7500 0.2500 0.5000
Cu 0.5000 0.5000 0.0000
Ge 0.2881 0.2881 0.0000
Ge 0.7119 0.7119 0.0000

DFT (PBE-GGA) results for crystalline NdMg2Cu2Ge2 at its relaxed geometry.

Results
D(E_F)   0.222 states/eV/atom
Formation enthalpy at 0 K   -0.413 eV per atom
E_tot   -0.2969 Ry per atom
Calculated density   5.9 g/cm³

a b c (Å): 8.6194 8.6194 8.6194
angles (deg): 28.84 28.84 28.84
Sites, in units of the cell vectors:
Nd 0.0000 0.0000 0.0000
Mg 0.1349 0.1349 0.1349
Mg 0.8651 0.8651 0.8651
Cu 0.4188 0.4188 0.4188
Cu 0.5812 0.5812 0.5812
Ge 0.2545 0.2545 0.2545
Ge 0.7455 0.7455 0.7455

DFT (PBE-GGA) results for crystalline NdMgCuGe2 at its relaxed geometry.

Results
D(E_F)   0.562 states/eV/atom
Formation enthalpy at 0 K   -0.484 eV per atom
E_tot   -0.3250 Ry per atom
Calculated density   6.3 g/cm³

a b c (Å): 6.3765 6.3765 6.3765
angles (deg): 141.63 141.63 55.39
Sites, in units of the cell vectors:
Nd 0.0000 0.0000 0.0000
Mg 0.7500 0.2500 0.5000
Cu 0.2500 0.7500 0.5000
Ge 0.3880 0.3880 0.0000
Ge 0.6120 0.6120 0.0000

DFT (PBE-GGA) results for crystalline Mg2CuNiGe2 at its relaxed geometry.

Results
D(E_F)   0.458 states/eV/atom
Formation enthalpy at 0 K   -0.264 eV per atom
E_tot   -0.2926 Ry per atom
Calculated density   5.3 g/cm³

a b c (Å): 7.3684 7.3684 7.3684
angles (deg): 134.88 65.57 135.07
Sites, in units of the cell vectors:
Mg 0.1595 0.2456 0.4051
Mg 0.3405 0.7456 0.0860
Mg 0.6595 0.2544 0.9140
Mg 0.8405 0.7544 0.5949
Cu 0.2500 0.2500 0.0000
Cu 0.7500 0.7500 0.0000
Ni 0.2500 0.7500 0.5000
Ni 0.7500 0.2500 0.5000
Ge 0.1179 0.7368 0.8547
Ge 0.3821 0.2368 0.6188
Ge 0.6179 0.7632 0.3812
Ge 0.8821 0.2632 0.1453

DFT (PBE-GGA) results for crystalline MgCuNiGe2 at its relaxed geometry.

Results
D(E_F)   0.350 states/eV/atom
Formation enthalpy at 0 K   0.172 eV per atom
E_tot   -0.2917 Ry per atom
Calculated density   5.2 g/cm³

a b c (Å): 4.4837 4.4837 4.6369
angles (deg): 90.00 90.00 90.00
Sites, in units of the cell vectors:
Mg 0.0000 0.0000 0.0000
Cu 0.5000 0.5000 0.0000
Ni 0.5000 0.5000 0.5000
Ge 0.0000 0.5000 0.5000
Ge 0.5000 0.0000 0.5000

DFT (PBE-GGA) results for crystalline Mg2Cu2Ni5Ge at its relaxed geometry.

Results
D(E_F)   0.585 states/eV/atom
Formation enthalpy at 0 K   -0.110 eV per atom
E_tot   -0.3382 Ry per atom
Calculated density   6.8 g/cm³

a b c (Å): 8.5794 8.5794 3.5727
angles (deg): 90.00 90.00 90.00
Sites, in units of the cell vectors:
Mg 0.1711 0.3289 0.0000
Mg 0.3289 0.8289 0.0000
Mg 0.6711 0.1711 0.0000
Mg 0.8289 0.6711 0.0000
Cu 0.1265 0.6265 0.0000
Cu 0.3735 0.1265 0.0000
Cu 0.6265 0.8735 0.0000
Cu 0.8735 0.3735 0.0000
Ni 0.0000 0.5000 0.5000
Ni 0.0665 0.8026 0.5000
Ni 0.1974 0.0665 0.5000
Ni 0.3026 0.5665 0.5000
Ni 0.4335 0.3026 0.5000
Ni 0.5000 0.0000 0.5000
Ni 0.5665 0.6974 0.5000
Ni 0.6974 0.4335 0.5000
Ni 0.8026 0.9335 0.5000
Ni 0.9335 0.1974 0.5000
Ge 0.0000 0.0000 0.0000
Ge 0.5000 0.5000 0.0000

DFT (PBE-GGA) results for crystalline MgCuGe2O6 at its relaxed geometry.

Results
D(E_F)   0.324 states/eV/atom
Energy relative to the elements, uncorrected   -1.615 eV per atom
E_tot   -0.4471 Ry per atom
Calculated density   4.8 g/cm³

a b c (Å): 6.7222 6.7222 5.1827
angles (deg): 99.01 99.01 86.71
Sites, in units of the cell vectors:
Mg 0.2327 0.7673 0.7500
Mg 0.7673 0.2327 0.2500
Cu 0.4023 0.5977 0.2500
Cu 0.5977 0.4023 0.7500
Ge 0.1067 0.2938 0.8005
Ge 0.2938 0.1067 0.3005
Ge 0.7062 0.8933 0.6995
Ge 0.8933 0.7062 0.1995
O 0.0712 0.2101 0.1074
O 0.1201 0.6425 0.3792
O 0.2101 0.0712 0.6074
O 0.2923 0.4805 0.8781
O 0.3575 0.8799 0.1208
O 0.4805 0.2923 0.3781
O 0.5195 0.7077 0.6219
O 0.6425 0.1201 0.8792
O 0.7077 0.5195 0.1219
O 0.7899 0.9288 0.3926
O 0.8799 0.3575 0.6208
O 0.9288 0.7899 0.8926

DFT (PBE-GGA) results for crystalline MgCuGe2O6 at its relaxed geometry.

Results
D(E_F)   0.045 states/eV/atom
Energy relative to the elements, uncorrected   -1.631 eV per atom
E_tot   -0.4482 Ry per atom
Calculated density   4.6 g/cm³

a b c (Å): 6.8105 6.8105 5.3654
angles (deg): 103.01 103.01 84.79
Sites, in units of the cell vectors:
Mg 0.0945 0.9055 0.7500
Mg 0.9055 0.0945 0.2500
Cu 0.2517 0.7483 0.2500
Cu 0.7483 0.2517 0.7500
Ge 0.2100 0.3925 0.7541
Ge 0.3925 0.2100 0.2541
Ge 0.6075 0.7900 0.7459
Ge 0.7900 0.6075 0.2459
O 0.0319 0.2019 0.6391
O 0.1296 0.6367 0.8933
O 0.2019 0.0319 0.1391
O 0.3061 0.4186 0.4789
O 0.3633 0.8704 0.6067
O 0.4186 0.3061 0.9789
O 0.5814 0.6939 0.0211
O 0.6367 0.1296 0.3933
O 0.6939 0.5814 0.5211
O 0.7981 0.9681 0.8609
O 0.8704 0.3633 0.1067
O 0.9681 0.7981 0.3609

DFT (PBE-GGA) results for crystalline MgCuGeO4 at its relaxed geometry.

Results
Energy relative to the elements, uncorrected   -1.616 eV per atom
E_tot   -0.4352 Ry per atom
Calculated density   4.9 g/cm³

a b c (Å): 6.1092 6.1092 6.1092
angles (deg): 123.66 123.49 83.92
Sites, in units of the cell vectors:
Mg 0.3971 0.1471 0.2500
Mg 0.6029 0.8529 0.7500
Cu 0.0000 0.0000 0.5000
Cu 0.0000 0.5000 0.0000
Ge 0.0000 0.5000 0.5000
Ge 0.5000 0.5000 0.0000
O 0.1938 0.7127 0.4811
O 0.2615 0.2870 0.5255
O 0.2615 0.7360 0.9745
O 0.2684 0.2873 0.9811
O 0.7316 0.7127 0.0189
O 0.7385 0.2640 0.0255
O 0.7385 0.7130 0.4745
O 0.8062 0.2873 0.5189

DFT (PBE-GGA) results for crystalline Mg2CuGeP at its relaxed geometry.

Results
D(E_F)   0.603 states/eV/atom
Formation enthalpy at 0 K   0.635 eV per atom
E_tot   -0.2078 Ry per atom
Calculated density   3.0 g/cm³

a b c (Å): 4.9911 4.9911 4.7806
angles (deg): 90.00 90.00 90.00
Sites, in units of the cell vectors:
Mg 0.0000 0.5000 0.0000
Mg 0.5000 0.0000 0.0000
Cu 0.0000 0.0000 0.5000
Ge 0.5000 0.5000 0.0000
P 0.5000 0.5000 0.5000

DFT (PBE-GGA) results for crystalline MgPaCuGe at its relaxed geometry.

Results
D(E_F)   1.080 states/eV/atom
Formation enthalpy at 0 K   -0.153 eV per atom
E_tot   -0.3751 Ry per atom
Calculated density   8.4 g/cm³

a b c (Å): 4.7862 4.7862 4.7862
angles (deg): 60.00 60.00 60.00
Sites, in units of the cell vectors:
Mg 0.0000 0.0000 0.0000
Pa 0.5000 0.5000 0.5000
Cu 0.2500 0.2500 0.2500
Ge 0.7500 0.7500 0.7500

DFT (PBE-GGA) results for crystalline MgCuGePb2 at its relaxed geometry.

Results
D(E_F)   0.348 states/eV/atom
Formation enthalpy at 0 K   0.277 eV per atom
E_tot   -0.2402 Ry per atom
Calculated density   7.1 g/cm³

a b c (Å): 5.4062 5.4062 4.5746
angles (deg): 90.00 90.00 90.00
Sites, in units of the cell vectors:
Mg 0.0000 0.0000 0.0000
Cu 0.5000 0.5000 0.5000
Ge 0.5000 0.5000 0.0000
Pb 0.0000 0.5000 0.5000
Pb 0.5000 0.0000 0.5000